An optimized crystal structure of Na2MgTl2. Source: Alexandria via LeMat-Bulk, functional PBE.

Its crystal system is tetragonal. The magnetic moment is 0.00 μB per cell. For the energy relative to the elements, the calculation gives 0.063 eV/atom.

It has space group I4/mmm (No. 139), with a = 4.253 Å, b = 4.253 Å, c = 15.843 Å, α = 90.00°, β = 90.00° and γ = 90.00°. The distinct sites, in fractional coordinates, are Na at (0.000, 0.500, 0.250), Mg at (0.000, 0.000, 0.000) and Tl at (0.000, 0.000, 0.403).